Entry 1:
A crystal of Y2As2W relaxed with PBEsol, computed with SCAN.

Computed properties:
Energy relative to the elements in eV per atom: -0.75
Symmetry: P4/mbm (127)

```
Y2As2W
1.0
6.8862 0.0000 0.0000
0.0000 6.8862 0.0000
0.0000 0.0000 4.1180
Y As W
4 4 2
Cartesian
1.1710 2.2721 0.0000
2.2721 5.7152 0.0000
4.6141 1.1710 0.0000
5.7152 4.6141 0.0000
0.9770 4.4201 2.0590
2.4661 0.9770 2.0590
4.4201 5.9092 2.0590
5.9092 2.4661 2.0590
0.0000 0.0000 2.0590
3.4431 3.4431 2.0590
```

***

Entry 2:
A crystal of YAsW2 relaxed with PBEsol, computed with SCAN.

Computed properties:
Energy relative to the elements in eV per atom: 0.43
Symmetry: C2/m (12)

```
YAsW2
1.0
2.7623 -5.0930 0.0000
2.7623 5.0930 0.0000
-1.6665 0.0000 2.5710
Y As W
1 1 2
Cartesian
0.0000 0.0000 0.0000
2.7623 0.0000 0.0000
0.5479 2.5465 1.2855
0.5479 -2.5465 1.2855
```

***

Entry 3:
A crystal of YAsW2 relaxed with PBEsol, computed with SCAN.

Computed properties:
Energy relative to the elements in eV per atom: 0.26
Symmetry: R3m (160)

```
YAsW2
1.0
1.6159 0.9329 8.3582
-1.6159 0.9329 8.3582
0.0000 -1.8659 8.3582
Y As W
1 1 2
Cartesian
0.0000 0.0000 0.0000
0.0000 0.0000 19.0671
0.0000 0.0000 5.9929
0.0000 0.0000 12.5021
```

***

| no. | final energy (eV per atom) | spin magnetization (μB/f.u.) |
| --- | --- | --- |
| 1 | -33.90 | 0.00 |
| 2 | -46.42 | 0.00 |
| 3 | -46.59 | 0.00 |